CrAgO3 | PBE with a Hubbard U | optimized geometry

Output
M_tot, μB per atom: 0.197
Calculated volume, Å³/cell: 114.60
Symmetry: R3c, No. 161
N(E_F), states/eV per cell: 1.0

extended XYZ file:
```
10
Lattice="2.6655 1.5389 4.6566 -2.6655 1.5389 4.6566 0.0000 -3.0778 4.6566" Properties=species:S:1:pos:R:3 pbc="T T T"
Cr 0.0000 0.0000 0.0000
Cr 0.0000 0.0000 6.9849
Ag 0.0000 0.0000 2.9050
Ag 0.0000 0.0000 9.8899
O -1.6493 0.3020 5.9572
O -1.0161 -1.2369 8.2855
O 0.5631 -1.5793 5.9572
O -0.5632 1.4985 8.2855
O 1.0862 1.2774 5.9572
O 1.5793 -0.2615 8.2855
```

=====

CrAg3O | PBE with a Hubbard U | optimized geometry

Output
M_tot, μB per atom: 1.206
Calculated volume, Å³/cell: 131.42
Symmetry: Pm-3m, No. 221
N(E_F), states/eV per cell: 5.6
Energy relative to the lowest polymorph listed for this composition, meV/atom: 1069

extended XYZ file:
```
5
Lattice="5.0841 0.0000 0.0000 0.0000 5.0841 0.0000 0.0000 0.0000 5.0841" Properties=species:S:1:pos:R:3 pbc="T T T"
Cr 0.0000 0.0000 0.0000
Ag 0.0000 0.0000 2.5421
Ag 0.0000 2.5421 0.0000
Ag 2.5421 0.0000 0.0000
O 2.5421 2.5421 2.5421
```

=====

Cr3AgO8 | PBE with a Hubbard U | optimized geometry

Output
M_tot, μB per atom: 0.246
Calculated volume, Å³/cell: 172.21
Symmetry: C2/m, No. 12

extended XYZ file:
```
12
Lattice="4.3381 -2.7837 0.0000 4.3381 2.7837 0.0000 -0.4088 0.0000 7.1302" Properties=species:S:1:pos:R:3 pbc="T T T"
Cr 0.0000 0.0000 0.0000
Cr 2.6968 0.0000 5.5741
Cr 5.5706 0.0000 1.5561
Ag -0.2044 0.0000 3.5651
O 3.6607 1.4021 5.6935
O 1.5499 0.0000 6.7742
O 1.9620 0.0000 4.1203
O 4.6067 1.4021 1.4366
O 3.6607 -1.4021 5.6935
O 6.3054 0.0000 3.0098
O 6.7175 0.0000 0.3560
O 4.6067 -1.4021 1.4366
```

=====

CrAgO3 | PBE with a Hubbard U | optimized geometry

Output
M_tot, μB per atom: 0.704
Calculated volume, Å³/cell: 62.64
Symmetry: Pm-3m, No. 221
N(E_F), states/eV per cell: 4.4

extended XYZ file:
```
5
Lattice="3.9714 0.0000 0.0000 0.0000 3.9714 0.0000 0.0000 0.0000 3.9714" Properties=species:S:1:pos:R:3 pbc="T T T"
Cr 0.0000 0.0000 0.0000
Ag 1.9857 1.9857 1.9857
O 0.0000 1.9857 1.9857
O 1.9857 0.0000 1.9857
O 1.9857 1.9857 0.0000
```

=====

CrAg2O5 | PBE with a Hubbard U | optimized geometry

Output
M_tot, μB per atom: 0.059
Calculated volume, Å³/cell: 480.94
Symmetry: C2/c, No. 15
N(E_F), states/eV per cell: 11.8

extended XYZ file:
```
32
Lattice="7.0403 -3.8338 0.0000 7.0403 3.8338 0.0000 -4.9919 0.0000 8.9091" Properties=species:S:1:pos:R:3 pbc="T T T"
Cr 0.8969 0.3725 2.6880
Cr -1.5991 -0.3725 7.1426
Cr 10.6878 0.3725 1.7666
Cr 8.1919 -0.3725 6.2211
Ag 3.9207 1.6895 4.5368
Ag 4.2874 0.5185 1.4844
Ag 2.6721 1.6895 8.8270
Ag 1.7915 -0.5185 5.9390
Ag 7.2973 0.5185 2.9701
Ag 6.4166 -1.6895 0.0822
Ag 4.8013 -0.5185 7.4247
Ag 5.1680 -1.6895 4.3724
O -2.2107 0.4311 5.8199
O 2.1397 2.1806 5.7929
O 0.2852 -0.4311 1.3654
O 2.4185 1.0084 2.3572
O -1.4888 0.6869 8.4289
O 1.0072 -0.6869 3.9744
O 4.4531 2.1806 7.5708
O -0.0774 -1.0084 6.8118
O 6.3545 0.3379 1.0713
O 5.2302 0.3379 3.3833
O 3.8586 -0.3379 5.5259
O 2.7342 -0.3379 7.8379
O 9.1662 1.0084 2.0974
O 4.6357 -2.1806 1.3383
O 8.0816 0.6869 4.9348
O 10.5775 -0.6869 0.4802
O 6.6702 -1.0084 6.5520
O 8.8035 0.4311 7.5438
O 6.9490 -2.1806 3.1163
O 11.2995 -0.4311 3.0892
```

=====

CrAgO2 | PBE with a Hubbard U | optimized geometry

Output
M_tot, μB per atom: 0.750
Calculated volume, Å³/cell: 44.91
Symmetry: Fm-3m, No. 225
N(E_F), states/eV per cell: 1.3

extended XYZ file:
```
4
Lattice="0.0000 2.8212 2.8212 2.8212 0.0000 2.8212 2.8212 2.8212 0.0000" Properties=species:S:1:pos:R:3 pbc="T T T"
Cr 0.0000 0.0000 0.0000
Ag 2.8212 2.8212 2.8212
O 1.4106 1.4106 1.4106
O 4.2318 4.2318 4.2318
```

=====

no.,E (eV per atom)
1,-5.89
2,-2.87
3,-6.62
4,-4.78
5,-5.33
6,-5.37